The following is a PBE+U calculation of Sr4Cu2MoWO12 after structural relaxation, from Alexandria via LeMat-Bulk.

Space group: P4/m (83)
Uncorrected energy (eV/cell): -130.6
N(E_F) (states/eV per cell): 0.747

abc: 5.4353 5.4353 8.7428
angles: 90.00 90.00 90.00
With the nearest neighbours (Å) after each atom.
Sites, in units of the cell vectors:
Sr1 0.5000 0.0000 0.2514  8 O 2.66-2.73
Sr2 0.0000 0.5000 0.7486  8 O 2.66-2.73
Sr3 0.0000 0.5000 0.2514  8 O 2.66-2.73
Sr4 0.5000 0.0000 0.7486  8 O 2.66-2.73
Cu1 0.5000 0.5000 0.0000  4 O 1.98
Cu2 0.0000 0.0000 0.5000  4 O 1.98
Mo1 0.5000 0.5000 0.5000  6 O 1.95
W1 0.0000 0.0000 0.0000  6 O 1.95-1.96
O1 0.0000 0.0000 0.2238  1 W 1.96
O2 0.5000 0.5000 0.7227  1 Mo 1.95
O3 0.5000 0.5000 0.2773  1 Mo 1.95
O4 0.0000 0.0000 0.7762  1 W 1.96
O5 0.6966 0.7998 0.5000  1 Mo 1.95, 1 Cu 1.98
O6 0.1944 0.3014 0.0000  1 W 1.95, 1 Cu 1.98
O7 0.8056 0.6986 0.0000  1 W 1.95, 1 Cu 1.98
O8 0.3034 0.2002 0.5000  1 Mo 1.95, 1 Cu 1.98
O9 0.6986 0.1944 0.0000  1 W 1.95, 1 Cu 1.98
O10 0.2002 0.6966 0.5000  1 Mo 1.95, 1 Cu 1.98
O11 0.7998 0.3034 0.5000  1 Mo 1.95, 1 Cu 1.98
O12 0.3014 0.8056 0.0000  1 W 1.95, 1 Cu 1.98